# BaCaOs2 (PBE, optimized geometry)
# **Raw total energy**: -5.396 eV per atom
# **Offset from the most stable computed form**: 1024 meV/atom
# **D(E_F)**: 4.3 states/eV per cell
# **Crystal system**: orthorhombic
# **Energy of formation from the pure elements**: 4.80 eV/f.u.
data_BaCaOs2
_cell_length_a 3.3528
_cell_length_b 4.9344
_cell_length_c 5.0468
_cell_angle_alpha 90.00
_cell_angle_beta 90.00
_cell_angle_gamma 90.00
_space_group_name_H-M_alt 'P m m m'
_space_group_IT_number 47
_space_group_name_Hall '-P 2 2'
loop_
_atom_site_label
_atom_site_type_symbol
_atom_site_fract_x
_atom_site_fract_y
_atom_site_fract_z
Ba1 Ba 0.0000 0.0000 0.0000
Ca1 Ca 0.5000 0.5000 0.0000
Os1 Os 0.0000 0.5000 0.5000
Os2 Os 0.5000 0.0000 0.5000